The following is a DFT calculation (PBE-GGA) of a geometry-optimized Sn2Se2S structure.

Unit cell a=3.925 b=5.855 c=7.011 alpha=114.68 beta=106.26 gamma=90.00
Fractional positions:
Sn1 0.345 0.845 0.690
Sn2 0.655 0.155 0.310
Se1 0.683 0.683 0.366
Se2 0.317 0.317 0.634
S1 0.000 0.000 0.000

Results
Uncorrected formation energy (eV per atom): -0.33
Relative energy among the computed polymorphs (eV per formula unit): 0.00
SG: Immm



The following is a DFT calculation (PBE-GGA) of a geometry-optimized GeIrN2O structure.

Unit cell a=3.786 b=3.786 c=4.365 alpha=90.00 beta=90.00 gamma=90.00
Fractional positions:
Ge1 0.500 0.500 0.500
Ir1 0.000 0.000 0.000
O1 0.000 0.000 0.500
N1 0.000 0.500 0.000
N2 0.500 0.000 0.000

Results
Uncorrected formation energy (eV per atom): 0.69
SG: P4/mmm



The following is a DFT calculation (PBE-GGA) of a geometry-optimized CsBaP structure.

Unit cell a=5.390 b=5.386 c=12.682 alpha=102.59 beta=90.13 gamma=120.04
Fractional positions:
Cs1 0.578 0.533 0.791
Cs2 0.349 0.081 0.135
P1 0.856 0.092 0.634
P2 0.070 0.522 0.292
Ba1 0.166 0.711 0.564
Ba2 0.761 0.903 0.361

Results
Formation energy from the elements (eV/atom): -0.62
SG: P-1